Record 1
Density functional theory data (PBE-GGA) for crystalline KGePdO4 at its relaxed geometry.

## Properties
uncorrected formation energy	-1.007	eV per atom

a b c (Å): 5.538 5.755 7.294
angles (deg): 90.00 106.44 90.00
Positions (direct):
O  0.549  0.250  0.809
O  0.020  0.979  0.311
O  0.500  0.250  0.440
O  0.451  0.750  0.191
O  0.020  0.521  0.311
O  0.980  0.479  0.689
O  0.980  0.021  0.689
O  0.500  0.750  0.560
Pd  0.229  0.250  0.566
Pd  0.771  0.750  0.434
Ge  0.755  0.250  0.659
Ge  0.245  0.750  0.341
K  0.703  0.750  0.932
K  0.297  0.250  0.068

***

Record 2
Density functional theory data (PBE-GGA) for crystalline K3GePd3O8 at its relaxed geometry.

## Properties
uncorrected formation energy	-0.997	eV per atom

a b c (Å): 6.052 6.767 6.989
angles (deg): 116.17 90.00 116.56
Positions (direct):
O  0.303  0.607  0.365
O  0.246  0.022  0.693
O  0.697  0.393  0.635
O  0.776  0.022  0.693
O  0.754  0.978  0.307
O  0.808  0.615  0.366
O  0.192  0.385  0.634
O  0.224  0.978  0.307
K  0.000  0.500  0.000
K  0.000  0.000  0.000
K  0.500  0.500  0.000
Pd  0.000  0.500  0.500
Pd  0.500  0.500  0.500
Pd  0.500  0.000  0.500
Ge  0.000  0.000  0.500

***

Q: What is the uncorrected formation energy in the second record?
A: -0.997 eV per atom